## PtRh2Au (PBE-GGA)

Data for a relaxed PtRh2Au crystal.

abc: 4.8112 4.8112 4.8112
angles: 131.14 131.14 71.59
Closest atoms and distances in Å follow each position.
Atoms (fractional coordinates):
Rh 0.2500 0.7500 0.5000  4 Pt 2.79, 4 Au 2.79, 4 Rh 2.81
Rh 0.7500 0.2500 0.5000  4 Pt 2.79, 4 Au 2.79, 4 Rh 2.81
Au 0.5000 0.5000 0.0000  8 Rh 2.79, 4 Pt 2.81
Pt 0.0000 0.0000 0.0000  8 Rh 2.79, 4 Au 2.81

Summary:
Formation energy ... 117.7 meV per atom
ΔE to the lowest computed polymorph ... 0.24 eV per formula unit
Symmetry ... No. 139